Compound: KTlCdHg2
Source: Alexandria
Functional: PBE
Structure: relaxed

The space group is P4/mmm (No. 123) and the conventional cell measures 5.851, 5.851 and 5.804 Å, with angles of 90.00, 90.00 and 90.00 degrees. The distinct sites, in fractional coordinates, are K at (0.000, 0.000, 0.000), Tl at (0.500, 0.500, 0.500), Cd at (0.500, 0.500, 0.000) and Hg at (0.000, 0.500, 0.500).

The calculation puts the calculated volume at 199 Å³/f.u. Its offset from the most stable computed form is 0.174 eV per atom.


Compound: K3Tl2Cd2Hg4
Source: Alexandria
Functional: PBE
Structure: relaxed

The space group is P-3m1 (No. 164) and the conventional cell measures 5.3909, 5.3909 and 14.4903 Å, with angles of 90.00, 90.00 and 120.00 degrees. The distinct sites, in fractional coordinates, are K at (0.0000, 0.0000, 0.0000), K at (0.0000, 0.0000, 0.2755), Tl at (0.3333, 0.6667, 0.5855), Cd at (0.3333, 0.6667, 0.1489), Hg at (0.3333, 0.6667, 0.3748) and Hg at (0.3333, 0.6667, 0.8580).

The calculation puts the calculated volume at 365 Å³/f.u. Its final energy is -1.14 eV per atom.